one) Compound: LaHf2Mo
Source: the Alexandria database
Functional: PBE-GGA
Structure: relaxed

Calculated values
**Total moment**: 0.00 μB/atom
**Mass density**: 11.32 g cm⁻³

Lattice parameters (Å, degrees): 4.970 4.970 4.970 60.00 60.00 60.00
Element x y z (fractional)
La  0.000  0.000  0.000
Hf  0.250  0.250  0.250
Hf  0.750  0.750  0.750
Mo  0.500  0.500  0.500

***

two) Compound: LaHf2Mo
Source: the Alexandria database
Functional: PBE-GGA
Structure: relaxed

Calculated values
**Total moment**: 0.00 μB/atom
**Mass density**: 10.38 g cm⁻³

Lattice parameters (Å, degrees): 10.676 10.676 10.676 17.38 17.38 17.38
Element x y z (fractional)
La  0.000  0.000  0.000
Hf  0.102  0.102  0.102
Hf  0.898  0.898  0.898
Mo  0.500  0.500  0.500

***

three) Compound: LaHf2Mo
Source: the Alexandria database
Functional: PBE-GGA
Structure: relaxed

Calculated values
**Total moment**: 0.00 μB/atom
**Mass density**: 10.30 g cm⁻³

Lattice parameters (Å, degrees): 10.920 10.920 10.920 157.48 157.48 32.06
Element x y z (fractional)
La  0.000  0.000  0.000
La  0.750  0.250  0.500
Hf  0.141  0.625  0.016
Hf  0.375  0.391  0.516
Hf  0.609  0.125  0.984
Hf  0.875  0.859  0.484
Mo  0.250  0.750  0.500
Mo  0.500  0.500  0.000

***

four) Compound: LaHf2Mo
Source: the Alexandria database
Functional: PBE-GGA
Structure: relaxed

Calculated values
**Total moment**: 0.00 μB/atom
**Mass density**: 10.33 g cm⁻³

Lattice parameters (Å, degrees): 3.386 3.386 8.298 90.00 90.00 90.00
Element x y z (fractional)
La  0.000  0.000  0.000
Hf  0.500  0.500  0.315
Hf  0.500  0.500  0.685
Mo  0.000  0.000  0.500

***

Which is the most stable structure? four) is the most stable.